# 1
KCeNiS3 (PBE, optimized geometry); DOS at the Fermi energy = 0.7689 states/eV per atom
1.0
3.985 0.000 0.000
0.000 8.804 -0.139
0.000 -2.467 8.720
K Ce Ni S
2 2 2 6
Direct
0.250 0.194 0.232 K
0.750 0.806 0.768 K
0.250 0.680 0.166 Ce
0.750 0.320 0.834 Ce
0.250 0.084 0.582 Ni
0.750 0.916 0.418 Ni
0.750 0.882 0.152 S
0.250 0.118 0.848 S
0.250 0.821 0.475 S
0.750 0.179 0.525 S
0.750 0.456 0.157 S
0.250 0.544 0.843 S

# 2
KCeNiS4 (PBE, optimized geometry); DOS at the Fermi energy = 0.8129 states/eV per atom
1.0
6.768 0.000 0.086
0.000 5.623 0.000
-2.543 0.000 8.616
K Ce Ni S
2 2 2 8
Direct
0.738 0.750 0.949 K
0.262 0.250 0.051 K
0.737 0.750 0.445 Ce
0.263 0.250 0.555 Ce
0.231 0.750 0.321 Ni
0.769 0.250 0.679 Ni
0.013 0.513 0.712 S
0.987 0.013 0.288 S
0.987 0.487 0.288 S
0.013 0.987 0.712 S
0.444 0.750 0.176 S
0.556 0.250 0.824 S
0.401 0.750 0.568 S
0.599 0.250 0.432 S

# 3
K3Ce2NiSe6 (PBE, optimized geometry); DOS at the Fermi energy = 0.6855 states/eV per atom
1.0
7.235 -0.004 -0.003
-3.619 6.265 -0.003
-1.209 -2.093 7.659
K Ce Ni Se
3 2 1 6
Direct
0.169 0.831 0.500 K
0.831 0.169 0.500 K
0.500 0.500 0.500 K
0.334 0.666 0.000 Ce
0.666 0.334 0.000 Ce
0.000 0.000 0.000 Ni
0.934 0.622 0.802 Se
0.754 0.754 0.198 Se
0.066 0.378 0.198 Se
0.622 0.934 0.802 Se
0.246 0.246 0.802 Se
0.378 0.066 0.198 Se

# 4
K2Ce2NiSe6 (PBE, optimized geometry); DOS at the Fermi energy = 0.0760 states/eV per atom
1.0
7.027 0.010 0.058
-3.464 6.114 0.058
-1.276 -2.193 7.820
K Ce Ni Se
2 2 1 6
Direct
0.830 0.170 0.000 K
0.170 0.830 0.000 K
0.333 0.667 0.500 Ce
0.667 0.333 0.500 Ce
0.000 0.000 0.500 Ni
0.762 0.762 0.689 Se
0.067 0.377 0.694 Se
0.238 0.238 0.311 Se
0.377 0.067 0.694 Se
0.933 0.623 0.306 Se
0.623 0.933 0.306 Se

# 5
K4CeNp3O12 (PBE, optimized geometry); DOS at the Fermi energy = 0.5645 states/eV per atom
1.0
7.481 0.000 0.000
-2.494 7.053 0.000
-2.494 -3.526 6.108
K Ce Np O
4 1 3 12
Direct
0.500 0.500 0.500 K
0.000 0.000 0.500 K
0.500 0.000 0.000 K
0.000 0.500 0.000 K
0.000 0.000 0.000 Ce
0.500 0.000 0.500 Np
0.500 0.500 0.000 Np
0.000 0.500 0.500 Np
0.250 0.500 0.750 O
0.737 0.000 0.737 O
0.263 0.000 0.263 O
0.750 0.500 0.250 O
0.737 0.737 0.000 O
0.263 0.263 0.000 O
0.750 0.250 0.500 O
0.250 0.750 0.500 O
0.500 0.250 0.750 O
0.000 0.737 0.737 O
0.500 0.750 0.250 O
0.000 0.263 0.263 O

# 6
K3CeNp2O9 (PBE, optimized geometry); DOS at the Fermi energy = 0.5227 states/eV per atom
1.0
-0.974 2.209 5.617
4.736 -3.723 -1.042
4.307 5.923 -1.583
K Ce Np O
3 1 2 9
Direct
0.333 0.667 0.664 K
0.000 0.000 0.000 K
0.667 0.333 0.336 K
0.000 0.000 0.500 Ce
0.333 0.667 0.164 Np
0.667 0.333 0.836 Np
0.827 0.173 0.676 O
0.827 0.653 0.676 O
0.347 0.173 0.676 O
0.653 0.827 0.324 O
0.173 0.347 0.324 O
0.173 0.827 0.324 O
0.500 0.000 0.000 O
0.000 0.500 0.000 O
0.500 0.500 0.000 O

# 7
Compound: KCe2NpO8
Source: Alexandria
Functional: PBE
Structure: optimized geometry

Geometry as POSCAR:
```
KCe2NpO8
1.0
5.294 -0.019 -0.003
0.020 5.287 -0.006
0.005 0.008 7.149
K Ce Np O
1 2 1 8
Direct
0.000 0.000 0.500 K
0.500 0.500 0.747 Ce
0.500 0.500 0.253 Ce
0.000 0.000 0.000 Np
0.183 0.816 0.192 O
0.696 0.697 0.000 O
0.817 0.184 0.192 O
0.817 0.184 0.808 O
0.304 0.303 0.000 O
0.183 0.816 0.808 O
0.664 0.667 0.500 O
0.336 0.333 0.500 O
```

# 8
K4Ce3NpS8 (PBE, optimized geometry); DOS at the Fermi energy = 1.3448 states/eV per atom
1.0
-0.188 1.015 -8.326
-2.378 -8.424 -0.973
-4.668 4.926 4.933
K Ce Np S
4 3 1 8
Direct
0.500 0.000 0.000 K
0.500 0.000 0.500 K
0.000 0.000 0.000 K
0.000 0.000 0.500 K
0.500 0.500 0.000 Ce
0.500 0.500 0.500 Ce
0.000 0.500 0.500 Ce
0.000 0.500 0.000 Np
0.233 0.704 0.971 S
0.233 0.704 0.466 S
0.264 0.293 0.529 S
0.738 0.704 0.971 S
0.262 0.296 0.029 S
0.736 0.707 0.471 S
0.767 0.296 0.534 S
0.767 0.296 0.029 S

Values of magnetic moment, in order: 0.1; 2.9; 2.7; 2.2; 5.0; 3.1; 0.0; 1.5, all in Bohr magnetons per cell.
Values of formation energy (no corrections), in order: -1.35; -1.10; -1.26; -1.21; -2.73; -2.73; -2.81; -1.68, all in eV/atom.